{
  "formula": "TeMo3Pb",
  "functional": "PBE",
  "state": "optimized geometry",
  "e_form_raw_ev_per_atom": 1.71,
  "de_polymorph_mev_per_atom": 0,
  "final_energy_ev_per_atom": -6.160,
  "lattice": [[4.943, 0.000, 0.000], [0.000, 4.943, 0.000], [0.000, 0.000, 4.943]],
  "species": ["Te", "Mo", "Mo", "Mo", "Pb"],
  "fractional_positions": [[0.000, 0.000, 0.000], [0.000, 0.000, 0.500], [0.000, 0.500, 0.000], [0.500, 0.000, 0.000], [0.500, 0.500, 0.500]]
}